Tb4PuS4, relaxed, DFT PBE-GGA; N(E_F) = 11.358 states/eV per cell; formation energy without anion corrections = -1.697 eV/atom; symmetry = I4/m; final energy = -7.181 eV per atom
1.0
5.135 0.000 2.059
2.523 6.179 1.140
0.269 -0.120 6.762
Pu Tb S
1 4 4
direct
0.000 0.000 0.000 Pu
0.199 0.198 0.403 Tb
0.397 0.403 0.802 Tb
0.603 0.597 0.198 Tb
0.801 0.802 0.597 Tb
0.697 0.204 0.401 S
0.303 0.796 0.599 S
0.098 0.600 0.204 S
0.902 0.400 0.796 S